Record 1
The following is a DFT calculation (PBE) of crystalline Mg6IrPt5 at its relaxed geometry.

- size of the total moment (μB/atom) = 0.00

a b c (Å): 4.6077 6.0012 6.9536
angles (deg): 90.00 100.55 90.00
Space group P2/m (No. 10)
Symmetry-distinct sites (fractional):
Mg: 0.0000 0.2476 0.0000 (multiplicity 2)
Mg: 0.3365 0.2476 0.6697 (multiplicity 4)
Ir: 0.5000 0.0000 0.0000 (multiplicity 1)
Pt: 0.1654 0.0000 0.3333 (multiplicity 2)
Pt: 0.1663 0.5000 0.3360 (multiplicity 2)
Pt: 0.5000 0.5000 0.0000 (multiplicity 1)

***

Record 2
The following is a DFT calculation (PBE) of crystalline Mg3IrPt2 at its relaxed geometry.

- size of the total moment (μB/atom) = 0.00

a b c (Å): 3.1645 3.1645 9.3348
angles (deg): 90.00 90.00 90.00
Space group P4/mmm (No. 123)
Symmetry-distinct sites (fractional):
Mg: 0.0000 0.0000 0.0000 (multiplicity 1)
Mg: 0.0000 0.0000 0.3405 (multiplicity 2)
Ir: 0.5000 0.5000 0.5000 (multiplicity 1)
Pt: 0.5000 0.5000 0.1681 (multiplicity 2)

***

Record 3
The following is a DFT calculation (PBE) of crystalline MgIr2Pt at its relaxed geometry.

- size of the total moment (μB/atom) = 0.00

a b c (Å): 2.8090 4.6634 9.5458
angles (deg): 90.00 90.00 90.00
Space group Imm2 (No. 44)
Symmetry-distinct sites (fractional):
Mg: 0.0000 0.0000 0.0000 (multiplicity 2)
Ir: 0.0000 0.0000 0.5077 (multiplicity 2)
Ir: 0.0000 0.5000 0.2372 (multiplicity 2)
Pt: 0.0000 0.5000 0.7600 (multiplicity 2)

***

Record 4
The following is a DFT calculation (PBE) of crystalline MgIr2Pt at its relaxed geometry.

- size of the total moment (μB/atom) = 0.00

a b c (Å): 4.7541 2.7847 4.7743
angles (deg): 90.00 108.22 90.00
Space group P2/m (No. 10)
Symmetry-distinct sites (fractional):
Mg: 0.0000 0.0000 0.0000 (multiplicity 1)
Ir: 0.0000 0.5000 0.5000 (multiplicity 1)
Ir: 0.5000 0.0000 0.5000 (multiplicity 1)
Pt: 0.5000 0.5000 0.0000 (multiplicity 1)

***

Record 5
The following is a DFT calculation (PBE) of crystalline MgIr2Pt at its relaxed geometry.

- size of the total moment (μB/atom) = 0.00

a b c (Å): 2.7786 3.9792 5.4885
angles (deg): 90.00 90.00 90.00
Space group Pmmm (No. 47)
Symmetry-distinct sites (fractional):
Mg: 0.0000 0.0000 0.0000 (multiplicity 1)
Ir: 0.5000 0.5000 0.2469 (multiplicity 2)
Pt: 0.0000 0.0000 0.5000 (multiplicity 1)

***

Record 6
The following is a DFT calculation (PBE) of crystalline MgIr2Pt at its relaxed geometry.

- size of the total moment (μB/atom) = 0.00

a b c (Å): 3.7696 3.7696 18.7124
angles (deg): 90.00 90.00 90.00
Space group I-42d (No. 122)
Symmetry-distinct sites (fractional):
Mg: 0.0000 0.0000 0.0000 (multiplicity 4)
Ir: 0.2358 0.2500 0.6250 (multiplicity 8)
Pt: 0.0000 0.0000 0.5000 (multiplicity 4)

***

Record 7
The following is a DFT calculation (PBE) of crystalline MgIr2Pt at its relaxed geometry.

- size of the total moment (μB/atom) = 0.00

a b c (Å): 2.8215 4.7402 9.2210
angles (deg): 90.00 90.00 90.00
Space group Cmmm (No. 65)
Symmetry-distinct sites (fractional):
Mg: 0.0000 0.0000 0.0000 (multiplicity 2)
Ir: 0.0000 0.5000 0.2436 (multiplicity 4)
Pt: 0.0000 0.0000 0.5000 (multiplicity 2)

***

Record 8
The following is a DFT calculation (PBE) of crystalline MgIr2Pt at its relaxed geometry.

- size of the total moment (μB/atom) = 0.30

a b c (Å): 6.2752 6.2752 6.2752
angles (deg): 90.00 90.00 90.00
Space group F-43m (No. 216)
Symmetry-distinct sites (fractional):
Mg: 0.0000 0.0000 0.0000 (multiplicity 4)
Ir: 0.0000 0.0000 0.5000 (multiplicity 4)
Ir: 0.2500 0.2500 0.7500 (multiplicity 4)
Pt: 0.2500 0.2500 0.2500 (multiplicity 4)

***

Record 9
The following is a DFT calculation (PBE) of crystalline MgIr2Pt at its relaxed geometry.

- size of the total moment (μB/atom) = 0.00

a b c (Å): 2.7826 2.7826 7.9049
angles (deg): 90.00 90.00 90.00
Space group P4mm (No. 99)
Symmetry-distinct sites (fractional):
Mg: 0.0000 0.0000 0.0000 (multiplicity 1)
Ir: 0.0000 0.0000 0.5097 (multiplicity 1)
Ir: 0.5000 0.5000 0.7369 (multiplicity 1)
Pt: 0.5000 0.5000 0.2542 (multiplicity 1)

***

Record 10
The following is a DFT calculation (PBE) of crystalline MgIr2Pt at its relaxed geometry.

- size of the total moment (μB/atom) = 0.00

a b c (Å): 3.9384 3.9384 7.7521
angles (deg): 90.00 90.00 90.00
Space group I-4m2 (No. 119)
Symmetry-distinct sites (fractional):
Mg: 0.0000 0.0000 0.0000 (multiplicity 2)
Ir: 0.0000 0.0000 0.5000 (multiplicity 2)
Ir: 0.0000 0.5000 0.2500 (multiplicity 2)
Pt: 0.0000 0.5000 0.7500 (multiplicity 2)

***

Record 11
The following is a DFT calculation (PBE) of crystalline Mg5IrPt4 at its relaxed geometry.

- size of the total moment (μB/atom) = 0.00

a b c (Å): 3.2071 3.2071 15.2745
angles (deg): 90.00 90.00 90.00
Space group P4/mmm (No. 123)
Symmetry-distinct sites (fractional):
Mg: 0.0000 0.0000 0.0000 (multiplicity 1)
Mg: 0.0000 0.0000 0.2010 (multiplicity 2)
Mg: 0.0000 0.0000 0.4039 (multiplicity 2)
Ir: 0.5000 0.5000 0.5000 (multiplicity 1)
Pt: 0.5000 0.5000 0.1003 (multiplicity 2)
Pt: 0.5000 0.5000 0.3009 (multiplicity 2)

***

Record 12
The following is a DFT calculation (PBE) of crystalline Mg6IrPt at its relaxed geometry.

- size of the total moment (μB/atom) = 0.00

a b c (Å): 5.8822 10.6211 6.0823
angles (deg): 90.00 116.75 90.00
Space group C2/m (No. 12)
Symmetry-distinct sites (fractional):
Mg: 0.2500 0.0000 0.2488 (multiplicity 4)
Mg: 0.2503 0.1958 0.7529 (multiplicity 8)
Ir: 0.0000 0.5000 0.0000 (multiplicity 2)
Pt: 0.0000 0.0000 0.5000 (multiplicity 2)

***

Record 13
The following is a DFT calculation (PBE) of crystalline PuMgIrPt at its relaxed geometry.

- size of the total moment (μB/atom) = 1.16

a b c (Å): 6.6770 6.6770 6.6770
angles (deg): 90.00 90.00 90.00
Space group F-43m (No. 216)
Symmetry-distinct sites (fractional):
Pu: 0.0000 0.0000 0.0000 (multiplicity 4)
Mg: 0.0000 0.0000 0.5000 (multiplicity 4)
Ir: 0.2500 0.2500 0.7500 (multiplicity 4)
Pt: 0.2500 0.2500 0.2500 (multiplicity 4)

***

Record 14
The following is a DFT calculation (PBE) of crystalline Mg2IrRuPt at its relaxed geometry.

- size of the total moment (μB/atom) = 0.40

a b c (Å): 4.7629 4.7629 4.7815
angles (deg): 90.00 90.00 90.00
Space group P4/mmm (No. 123)
Symmetry-distinct sites (fractional):
Mg: 0.0000 0.5000 0.0000 (multiplicity 2)
Ir: 0.0000 0.0000 0.5000 (multiplicity 1)
Ru: 0.5000 0.5000 0.5000 (multiplicity 1)
Pt: 0.0000 0.0000 0.0000 (multiplicity 1)

***

Record 15
The following is a DFT calculation (PBE) of crystalline SmMgIrPt at its relaxed geometry.

- size of the total moment (μB/atom) = 0.00

a b c (Å): 6.7483 6.7483 6.7483
angles (deg): 90.00 90.00 90.00
Space group F-43m (No. 216)
Symmetry-distinct sites (fractional):
Sm: 0.0000 0.0000 0.0000 (multiplicity 4)
Mg: 0.0000 0.0000 0.5000 (multiplicity 4)
Ir: 0.2500 0.2500 0.2500 (multiplicity 4)
Pt: 0.2500 0.2500 0.7500 (multiplicity 4)

***

Record 16
The following is a DFT calculation (PBE) of crystalline Sr2Mg6IrPt at its relaxed geometry.

- size of the total moment (μB/atom) = 0.00

a b c (Å): 10.2152 10.2061 7.2273
angles (deg): 90.00 134.82 90.00
Space group C2/m (No. 12)
Symmetry-distinct sites (fractional):
Sr: 0.0000 0.2500 0.0000 (multiplicity 4)
Mg: 0.0000 0.2491 0.5000 (multiplicity 4)
Mg: 0.2491 0.0000 0.5001 (multiplicity 4)
Mg: 0.2490 0.0000 0.9979 (multiplicity 4)
Ir: 0.0000 0.0000 0.5000 (multiplicity 2)
Pt: 0.0000 0.5000 0.5000 (multiplicity 2)

***

Record 17
The following is a DFT calculation (PBE) of crystalline TbMgIrPt at its relaxed geometry.

- size of the total moment (μB/atom) = 0.00

a b c (Å): 6.6682 6.6682 6.6682
angles (deg): 90.00 90.00 90.00
Space group F-43m (No. 216)
Symmetry-distinct sites (fractional):
Tb: 0.0000 0.0000 0.0000 (multiplicity 4)
Mg: 0.0000 0.0000 0.5000 (multiplicity 4)
Ir: 0.2500 0.2500 0.7500 (multiplicity 4)
Pt: 0.2500 0.2500 0.2500 (multiplicity 4)

***

Record 18
The following is a DFT calculation (PBE) of crystalline MgUIrPt at its relaxed geometry.

- size of the total moment (μB/atom) = 0.43

a b c (Å): 6.6867 6.6867 6.6867
angles (deg): 90.00 90.00 90.00
Space group F-43m (No. 216)
Symmetry-distinct sites (fractional):
Mg: 0.0000 0.0000 0.0000 (multiplicity 4)
U: 0.0000 0.0000 0.5000 (multiplicity 4)
Ir: 0.2500 0.2500 0.7500 (multiplicity 4)
Pt: 0.2500 0.2500 0.2500 (multiplicity 4)

***

Record 19
The following is a DFT calculation (PBE) of crystalline Mg3Zn3Ir2Pt at its relaxed geometry.

- size of the total moment (μB/atom) = 0.00

a b c (Å): 7.4827 7.4827 2.9299
angles (deg): 90.00 90.00 120.00
Space group P-62m (No. 189)
Symmetry-distinct sites (fractional):
Mg: 0.0000 0.7080 0.0000 (multiplicity 3)
Zn: 0.0000 0.3881 0.5000 (multiplicity 3)
Ir: 0.3333 0.6667 0.0000 (multiplicity 2)
Pt: 0.0000 0.0000 0.5000 (multiplicity 1)

***

Record 20
The following is a DFT calculation (PBE) of crystalline Mg2Zn5Ir2Pt at its relaxed geometry.

- size of the total moment (μB/atom) = 0.00

a b c (Å): 9.0858 9.0858 3.9121
angles (deg): 90.00 90.00 90.00
Space group P4/mbm (No. 127)
Symmetry-distinct sites (fractional):
Mg: 0.1710 0.3290 0.0000 (multiplicity 4)
Zn: 0.0000 0.5000 0.5000 (multiplicity 2)
Zn: 0.0716 0.8043 0.5000 (multiplicity 8)
Ir: 0.1244 0.6244 0.0000 (multiplicity 4)
Pt: 0.0000 0.0000 0.0000 (multiplicity 2)

***

Record 21
The following is a DFT calculation (PBE) of crystalline MgZnIr2Pt at its relaxed geometry.

- size of the total moment (μB/atom) = 0.00

a b c (Å): 4.5104 4.5104 4.4331
angles (deg): 90.00 90.00 90.00
Space group P4/mmm (No. 123)
Symmetry-distinct sites (fractional):
Mg: 0.0000 0.0000 0.0000 (multiplicity 1)
Zn: 0.0000 0.0000 0.5000 (multiplicity 1)
Ir: 0.0000 0.5000 0.5000 (multiplicity 2)
Pt: 0.5000 0.5000 0.0000 (multiplicity 1)

***

Record 22
The following is a DFT calculation (PBE) of crystalline Pu2MgIr at its relaxed geometry.

- size of the total moment (μB/atom) = 2.40

a b c (Å): 2.9212 2.9212 34.1839
angles (deg): 90.00 90.00 120.00
Space group R-3m (No. 166, hexagonal axes)
Symmetry-distinct sites (fractional):
Pu: 0.0000 0.0000 0.0940 (multiplicity 6)
Mg: 0.0000 0.0000 0.0000 (multiplicity 3)
Ir: 0.0000 0.0000 0.5000 (multiplicity 3)

***

Record 23
The following is a DFT calculation (PBE) of crystalline Pu2MgIr at its relaxed geometry.

- size of the total moment (μB/atom) = 0.00

a b c (Å): 5.1624 10.1922 5.9419
angles (deg): 90.00 90.00 90.00
Space group Cmcm (No. 63)
Symmetry-distinct sites (fractional):
Pu: 0.0000 0.1100 0.0513 (multiplicity 8)
Mg: 0.0000 0.4201 0.2500 (multiplicity 4)
Ir: 0.0000 0.3044 0.7500 (multiplicity 4)

***

Record 24
The following is a DFT calculation (PBE) of crystalline Pu4MgIr2 at its relaxed geometry.

- size of the total moment (μB/atom) = 2.98

a b c (Å): 4.9480 4.9480 21.4727
angles (deg): 90.00 90.00 120.00
Space group R-3m (No. 166, hexagonal axes)
Symmetry-distinct sites (fractional):
Pu: 0.0000 0.0000 0.0732 (multiplicity 6)
Pu: 0.0000 0.0000 0.2430 (multiplicity 6)
Mg: 0.0000 0.0000 0.5000 (multiplicity 3)
Ir: 0.0000 0.0000 0.3729 (multiplicity 6)

***

Record 25
The following is a DFT calculation (PBE) of crystalline Pu2MgIr at its relaxed geometry.

- size of the total moment (μB/atom) = 2.76

a b c (Å): 3.3126 3.3126 8.6973
angles (deg): 90.00 90.00 90.00
Space group P4/mmm (No. 123)
Symmetry-distinct sites (fractional):
Pu: 0.0000 0.0000 0.2027 (multiplicity 2)
Mg: 0.5000 0.5000 0.5000 (multiplicity 1)
Ir: 0.5000 0.5000 0.0000 (multiplicity 1)

***

Record 26
The following is a DFT calculation (PBE) of crystalline Pu7MgIr4 at its relaxed geometry.

- size of the total moment (μB/atom) = 0.33

a b c (Å): 11.8199 5.5039 9.8703
angles (deg): 90.00 123.68 90.00
Space group C2/m (No. 12)
Symmetry-distinct sites (fractional):
Pu: 0.0000 0.0000 0.0000 (multiplicity 2)
Pu: 0.0267 0.5000 0.3590 (multiplicity 4)
Pu: 0.1988 0.0000 0.6285 (multiplicity 4)
Pu: 0.2141 0.5000 0.9157 (multiplicity 4)
Mg: 0.0000 0.5000 0.0000 (multiplicity 2)
Ir: 0.0458 0.0000 0.7526 (multiplicity 4)
Ir: 0.2309 0.0000 0.3444 (multiplicity 4)

***

The records above yield calculated volume values of 15.8, 15.6, 15.6, 15.0, 15.2, 16.6, 15.4, 15.4, 15.3, 15.0, 15.7, 21.2, 18.6, 21.7, 19.2, 26.7, 18.5, 18.7, 15.8, 16.1, 18.0, 21.1, 19.5, 21.7, 23.9, 22.3 A^3/atom, respectively.
The records above yield ΔH_f (0 K) values of -9.34, -4.04, -0.30, -1.25, -0.40, 0.61, 0.30, 0.07, -1.04, -1.00, -7.47, -1.28, -2.16, 4.74, -2.65, -3.15, -3.02, -2.20, -3.16, -3.07, 4.93, 0.80, 0.05, -0.98, -0.78, -1.13 eV per formula unit, respectively.